! ZnGaCu2B | Alexandria via LeMat-Bulk | PBEsol | optimized geometry; values from VASP
&SYSTEM
  ibrav = 0, nat = 5, ntyp = 4
/
ATOMIC_SPECIES
Zn 65.41 Zn.upf
Ga 69.72 Ga.upf
Cu 63.55 Cu.upf
B 10.81 B.upf
ATOMIC_POSITIONS crystal
Zn 0.000 0.000 0.000
Ga 0.500 0.500 0.000
Cu 0.000 0.500 0.500
Cu 0.500 0.000 0.500
B 0.500 0.500 0.500
CELL_PARAMETERS angstrom
4.045 0.000 0.000
0.000 4.045 0.000
0.000 0.000 3.943
! ΔE_f = 0.29 eV per atom
! SG = P4/mmm (123)
! theoretical density = 7.03 g/cm3
! calculated volume = 12.90 Å³/atom



! Sr2TeF2 | Alexandria via LeMat-Bulk | PBEsol | optimized geometry; values from VASP
&SYSTEM
  ibrav = 0, nat = 5, ntyp = 3
/
ATOMIC_SPECIES
Sr 87.62 Sr.upf
Te 127.60 Te.upf
F 19.00 F.upf
ATOMIC_POSITIONS crystal
Sr 0.146 0.146 0.000
Sr 0.854 0.854 0.000
Te 0.500 0.500 0.000
F 0.250 0.750 0.500
F 0.750 0.250 0.500
CELL_PARAMETERS angstrom
-2.059 2.059 6.548
2.059 -2.059 6.548
2.059 2.059 -6.548
! SG = I4/mmm (139)
! theoretical density = 5.10 g/cm3
! calculated volume = 22.21 Å³/atom
! raw formation energy = -3062 meV per atom



! LaRe2Mo | Alexandria via LeMat-Bulk | PBEsol | optimized geometry; values from VASP
&SYSTEM
  ibrav = 0, nat = 4, ntyp = 3
/
ATOMIC_SPECIES
La 138.91 La.upf
Re 186.21 Re.upf
Mo 95.94 Mo.upf
ATOMIC_POSITIONS crystal
La 0.000 0.000 0.000
Re 0.250 0.250 0.250
Re 0.750 0.750 0.750
Mo 0.500 0.500 0.500
CELL_PARAMETERS angstrom
0.000 3.267 3.267
3.267 0.000 3.267
3.267 3.267 0.000
! ΔE_f = 0.58 eV per atom
! SG = Fm-3m (225)
! theoretical density = 14.45 g/cm3
! ΔE to the lowest computed polymorph = 211 meV/atom
! calculated volume = 17.44 Å³/atom



! TiCl3 | Alexandria via LeMat-Bulk | PBEsol | optimized geometry; values from VASP
&SYSTEM
  ibrav = 0, nat = 8, ntyp = 2
/
ATOMIC_SPECIES
Ti 47.87 Ti.upf
Cl 35.45 Cl.upf
ATOMIC_POSITIONS crystal
Ti 0.000 0.000 0.000
Ti 0.000 0.000 0.500
Cl 0.000 0.302 0.250
Cl 0.000 0.698 0.750
Cl 0.302 0.000 0.250
Cl 0.302 0.302 0.750
Cl 0.698 0.000 0.750
Cl 0.698 0.698 0.250
CELL_PARAMETERS angstrom
6.382 0.000 0.000
-3.191 5.527 0.000
0.000 0.000 5.611
! SG = P6_3/mcm (193)
! theoretical density = 2.59 g/cm3
! calculated volume = 24.74 Å³/atom
! raw formation energy = -1614 meV per atom



Question: Which of these has the lowest calculated volume?
Answer: ZnGaCu2B